CaTa2Ag: optimized geometry, GGA-PBE.

Geometry as POSCAR:
```
CaTa2Ag
1.0
-1.1591 0.6262 -5.2306
-3.5449 -0.6401 -4.0148
-2.9697 4.8928 -0.7314
Ag Ca Ta
1 1 2
Direct
0.4764 0.4764 0.4212
0.2293 0.2293 0.3294
0.0248 0.0248 0.9231
0.7695 0.7695 0.8262
```

distance to the lowest polymorph of the same formula: 163.8 meV/atom
total magnetic moment: 0.00 μB/atom
symmetry: Cm
calculated volume: 20.80 Å³/atom
crystal system: monoclinic
DFT formation energy: 0.4873 eV per atom